The following is a PBE calculation of a relaxed structure of Mo2PdC, from the Alexandria database.

Cell lengths 7.038, 7.038, 7.038 Å; angles 24.82, 24.82, 24.82 degrees
Positions (direct):
Mo 0.000 0.000 0.000
Mo 0.218 0.218 0.218
Pd 0.776 0.776 0.776
C 0.610 0.610 0.610

Output
- Space-group type: No. 160
- Fermi-level density of states: 3.83 states/eV/f.u.
- DFT total energy: -9.026 eV/atom
- Total magnetic moment: 0.000 μB/cell

The following is a PBE calculation of a relaxed structure of MoPd2CSe, from the Alexandria database.

Cell lengths 4.584, 4.584, 4.714 Å; angles 90.00, 90.00, 90.00 degrees
Positions (direct):
Mo 0.000 0.000 0.000
Pd 0.000 0.500 0.500
Pd 0.500 0.000 0.500
C 0.500 0.500 0.000
Se 0.000 0.000 0.500

Output
- Space-group type: No. 123
- Fermi-level density of states: 4.56 states/eV/f.u.
- DFT total energy: -4.907 eV/atom
- Total magnetic moment: 0.439 μB/cell

The following is a PBE calculation of a relaxed structure of TcMoPdC2, from the Alexandria database.

Cell lengths 3.803, 3.803, 5.363 Å; angles 90.00, 90.00, 90.00 degrees
Positions (direct):
Tc 0.000 0.000 0.000
Mo 0.500 0.500 0.000
Pd 0.500 0.500 0.500
C 0.000 0.500 0.500
C 0.500 0.000 0.500

Output
- Space-group type: No. 123
- Fermi-level density of states: 5.13 states/eV/f.u.
- DFT total energy: -6.504 eV/atom
- Total magnetic moment: 0.000 μB/cell

The following is a PBE calculation of a relaxed structure of Te2MoPdC, from the Alexandria database.

Cell lengths 5.186, 5.186, 4.977 Å; angles 90.00, 90.00, 90.00 degrees
Positions (direct):
Te 0.000 0.500 0.000
Te 0.500 0.000 0.000
Mo 0.000 0.000 0.000
Pd 0.000 0.000 0.500
C 0.500 0.500 0.500

Output
- Space-group type: No. 123
- Fermi-level density of states: 4.58 states/eV/f.u.
- DFT total energy: -4.411 eV/atom
- Total magnetic moment: 1.398 μB/cell

The following is a PBE calculation of a relaxed structure of Y2MoPdC, from the Alexandria database.

Cell lengths 4.940, 4.940, 4.025 Å; angles 90.00, 90.00, 90.00 degrees
Positions (direct):
Y 0.000 0.500 0.000
Y 0.500 0.000 0.000
Mo 0.000 0.000 0.500
Pd 0.500 0.500 0.500
C 0.000 0.000 0.000

Output
- Space-group type: No. 123
- Fermi-level density of states: 5.46 states/eV/f.u.
- DFT total energy: -7.888 eV/atom
- Total magnetic moment: 0.355 μB/cell

The following is a PBE calculation of a relaxed structure of Pm2MoC2, from the Alexandria database.

Cell lengths 6.777, 5.321, 10.259 Å; angles 90.00, 90.00, 90.00 degrees
Positions (direct):
Pm 0.036 0.250 0.218
Pm 0.182 0.250 0.554
Pm 0.318 0.750 0.054
Pm 0.464 0.750 0.718
Pm 0.536 0.250 0.282
Pm 0.682 0.250 0.946
Pm 0.818 0.750 0.446
Pm 0.964 0.750 0.782
Mo 0.219 0.250 0.864
Mo 0.281 0.750 0.364
Mo 0.719 0.250 0.636
Mo 0.781 0.750 0.136
C 0.049 0.750 0.242
C 0.186 0.750 0.543
C 0.314 0.250 0.043
C 0.451 0.250 0.742
C 0.549 0.750 0.258
C 0.686 0.750 0.957
C 0.814 0.250 0.457
C 0.951 0.250 0.758

Output
- ΔE to the lowest computed polymorph: 0.0 kJ/mol of atoms
- Space-group type: No. 62
- Fermi-level density of states: 2.94 states/eV/f.u.
- Total magnetic moment: 0.000 μB/cell

The following is a PBE calculation of a relaxed structure of PmMoC2, from the Alexandria database.

Cell lengths 6.019, 6.019, 6.019 Å; angles 31.65, 31.65, 31.65 degrees
Positions (direct):
Pm 0.000 0.000 0.000
Mo 0.500 0.500 0.500
C 0.235 0.235 0.235
C 0.765 0.765 0.765

Output
- Space-group type: No. 166
- Fermi-level density of states: 2.07 states/eV/f.u.
- DFT total energy: -8.451 eV/atom
- Total magnetic moment: 0.000 μB/cell

The following is a PBE calculation of a relaxed structure of Pm3MoC3, from the Alexandria database.

Cell lengths 7.031, 7.031, 5.375 Å; angles 90.00, 90.00, 100.61 degrees
Positions (direct):
Pm 0.111 0.889 0.750
Pm 0.172 0.406 0.750
Pm 0.406 0.172 0.250
Pm 0.594 0.828 0.750
Pm 0.828 0.594 0.250
Pm 0.889 0.111 0.250
Mo 0.307 0.693 0.250
Mo 0.693 0.307 0.750
C 0.124 0.876 0.250
C 0.177 0.419 0.250
C 0.419 0.177 0.750
C 0.581 0.823 0.250
C 0.823 0.581 0.750
C 0.876 0.124 0.750

Output
- Space-group type: No. 63
- Fermi-level density of states: 2.86 states/eV/f.u.
- DFT total energy: -7.726 eV/atom
- Total magnetic moment: 0.000 μB/cell

The following is a PBE calculation of a relaxed structure of Pm2MoC2, from the Alexandria database.

Cell lengths 8.550, 6.547, 6.244 Å; angles 90.00, 100.57, 90.00 degrees
Positions (direct):
Pm 0.049 0.236 0.028
Pm 0.049 0.264 0.528
Pm 0.322 0.621 0.906
Pm 0.322 0.879 0.406
Pm 0.678 0.121 0.594
Pm 0.678 0.379 0.094
Pm 0.951 0.736 0.472
Pm 0.951 0.764 0.972
Mo 0.382 0.107 0.860
Mo 0.382 0.393 0.360
Mo 0.618 0.607 0.640
Mo 0.618 0.893 0.140
C 0.165 0.543 0.243
C 0.165 0.957 0.743
C 0.466 0.140 0.204
C 0.466 0.360 0.704
C 0.534 0.640 0.296
C 0.534 0.860 0.796
C 0.835 0.043 0.257
C 0.835 0.457 0.757

Output
- ΔE to the lowest computed polymorph: 10.9 kJ/mol of atoms
- Space-group type: No. 14
- Fermi-level density of states: 3.23 states/eV/f.u.
- Total magnetic moment: 0.000 μB/cell

The following is a PBE calculation of a relaxed structure of Pm2MoC4, from the Alexandria database.

Cell lengths 6.898, 6.898, 6.898 Å; angles 108.62, 88.76, 134.61 degrees
Positions (direct):
Pm 0.152 0.153 0.305
Pm 0.348 0.653 0.002
Pm 0.652 0.347 0.998
Pm 0.848 0.847 0.695
Mo 0.250 0.750 0.500
Mo 0.750 0.250 0.500
C 0.078 0.689 0.767
C 0.124 0.847 0.971
C 0.376 0.347 0.723
C 0.422 0.189 0.611
C 0.578 0.811 0.389
C 0.624 0.653 0.277
C 0.876 0.153 0.029
C 0.922 0.311 0.233

Output
- Space-group type: No. 72
- Fermi-level density of states: 2.96 states/eV/f.u.
- DFT total energy: -8.288 eV/atom
- Total magnetic moment: 0.000 μB/cell

The following is a PBE calculation of a relaxed structure of PmMo2C2, from the Alexandria database.

Cell lengths 6.477, 5.835, 5.732 Å; angles 68.10, 56.70, 55.20 degrees
Positions (direct):
Pm 0.125 0.125 0.125
Pm 0.875 0.875 0.875
Mo 0.234 0.234 0.516
Mo 0.484 0.484 0.766
Mo 0.516 0.516 0.234
Mo 0.766 0.766 0.484
C 0.173 0.577 0.173
C 0.423 0.827 0.423
C 0.577 0.173 0.577
C 0.827 0.423 0.827

Output
- Space-group type: No. 70
- Fermi-level density of states: 2.50 states/eV/f.u.
- DFT total energy: -9.040 eV/atom
- Total magnetic moment: 0.000 μB/cell

The following is a PBE calculation of a relaxed structure of PmPu2MoC4, from the Alexandria database.

Cell lengths 6.160, 6.160, 12.271 Å; angles 90.00, 90.00, 146.51 degrees
Positions (direct):
Pm 0.113 0.887 0.750
Pm 0.887 0.113 0.250
Pu 0.371 0.629 0.538
Pu 0.371 0.629 0.962
Pu 0.629 0.371 0.038
Pu 0.629 0.371 0.462
Mo 0.155 0.845 0.250
Mo 0.845 0.155 0.750
C 0.000 0.000 0.000
C 0.000 0.000 0.500
C 0.258 0.742 0.125
C 0.258 0.742 0.375
C 0.435 0.565 0.750
C 0.565 0.435 0.250
C 0.742 0.258 0.625
C 0.742 0.258 0.875

Output
- Space-group type: No. 63
- Fermi-level density of states: 12.32 states/eV/f.u.
- DFT total energy: -10.066 eV/atom
- Total magnetic moment: 17.909 μB/cell

The following is a PBE calculation of a relaxed structure of PmSi2Mo2C, from the Alexandria database.

Cell lengths 4.223, 4.223, 5.408 Å; angles 90.00, 90.00, 90.00 degrees
Positions (direct):
Pm 0.000 0.000 0.000
Si 0.500 0.500 0.221
Si 0.500 0.500 0.779
Mo 0.000 0.500 0.500
Mo 0.500 0.000 0.500
C 0.000 0.000 0.500

Output
- Space-group type: No. 123
- Fermi-level density of states: 2.75 states/eV/f.u.
- DFT total energy: -8.208 eV/atom
- Total magnetic moment: 0.000 μB/cell

The following is a PBE calculation of a relaxed structure of PmTa2MoC4, from the Alexandria database.

Cell lengths 5.996, 5.996, 11.357 Å; angles 90.00, 90.00, 148.49 degrees
Positions (direct):
Pm 0.105 0.895 0.750
Pm 0.895 0.105 0.250
Ta 0.372 0.628 0.536
Ta 0.372 0.628 0.964
Ta 0.628 0.372 0.036
Ta 0.628 0.372 0.464
Mo 0.162 0.838 0.250
Mo 0.838 0.162 0.750
C 0.000 0.000 0.000
C 0.000 0.000 0.500
C 0.263 0.737 0.110
C 0.263 0.737 0.390
C 0.442 0.558 0.750
C 0.558 0.442 0.250
C 0.737 0.263 0.610
C 0.737 0.263 0.890

Output
- Space-group type: No. 63
- Fermi-level density of states: 1.84 states/eV/f.u.
- DFT total energy: -9.744 eV/atom
- Total magnetic moment: 0.000 μB/cell

The following is a PBE calculation of a relaxed structure of PrMoC2, from the Alexandria database.

Cell lengths 3.641, 4.223, 7.830 Å; angles 90.00, 90.00, 90.00 degrees
Positions (direct):
Pr 0.250 0.250 0.162
Pr 0.750 0.750 0.838
Mo 0.250 0.250 0.580
Mo 0.750 0.750 0.420
C 0.250 0.250 0.833
C 0.250 0.750 0.561
C 0.750 0.250 0.439
C 0.750 0.750 0.167

Output
- ΔE to the lowest computed polymorph: 0.0 kJ/mol of atoms
- Space-group type: No. 59
- Fermi-level density of states: 1.89 states/eV/f.u.
- Total magnetic moment: 0.000 μB/cell

The following is a PBE calculation of a relaxed structure of Pr2Mo2C3, from the Alexandria database.

Cell lengths 6.020, 6.716, 12.102 Å; angles 90.00, 112.16, 90.00 degrees
Positions (direct):
Pr 0.188 0.216 0.091
Pr 0.188 0.284 0.591
Pr 0.228 0.001 0.363
Pr 0.228 0.499 0.863
Pr 0.772 0.501 0.137
Pr 0.772 0.999 0.637
Pr 0.812 0.716 0.409
Pr 0.812 0.784 0.909
Mo 0.319 0.005 0.881
Mo 0.319 0.495 0.381
Mo 0.323 0.744 0.157
Mo 0.323 0.756 0.657
Mo 0.677 0.244 0.343
Mo 0.677 0.256 0.843
Mo 0.681 0.505 0.619
Mo 0.681 0.995 0.119
C 0.003 0.128 0.860
C 0.003 0.372 0.360
C 0.442 0.719 0.511
C 0.442 0.781 0.011
C 0.467 0.014 0.748
C 0.467 0.486 0.248
C 0.533 0.514 0.752
C 0.533 0.986 0.252
C 0.558 0.219 0.989
C 0.558 0.281 0.489
C 0.997 0.628 0.640
C 0.997 0.872 0.140

Output
- Space-group type: No. 14
- Fermi-level density of states: 2.92 states/eV/f.u.
- DFT total energy: -8.594 eV/atom
- Total magnetic moment: 0.000 μB/cell

The following is a PBE calculation of a relaxed structure of Pr2MoC3, from the Alexandria database.

Cell lengths 6.889, 6.889, 5.622 Å; angles 90.00, 90.00, 58.17 degrees
Positions (direct):
Pr 0.033 0.652 0.500
Pr 0.348 0.967 0.500
Pr 0.652 0.033 0.000
Pr 0.967 0.348 0.000
Mo 0.336 0.664 0.016
Mo 0.664 0.336 0.516
C 0.045 0.673 0.973
C 0.327 0.955 0.973
C 0.398 0.602 0.353
C 0.602 0.398 0.853
C 0.673 0.045 0.473
C 0.955 0.327 0.473

Output
- Space-group type: No. 36
- Fermi-level density of states: 0.86 states/eV/f.u.
- DFT total energy: -7.965 eV/atom
- Total magnetic moment: 0.000 μB/cell

The following is a PBE calculation of a relaxed structure of PrMoC2, from the Alexandria database.

Cell lengths 6.101, 6.101, 6.101 Å; angles 31.48, 31.48, 31.48 degrees
Positions (direct):
Pr 0.000 0.000 0.000
Mo 0.500 0.500 0.500
C 0.232 0.232 0.232
C 0.768 0.768 0.768

Output
- ΔE to the lowest computed polymorph: 18.9 kJ/mol of atoms
- Space-group type: No. 166
- Fermi-level density of states: 2.48 states/eV/f.u.
- Total magnetic moment: 0.000 μB/cell

The following is a PBE calculation of a relaxed structure of PrU2MoC4, from the Alexandria database.

Cell lengths 6.169, 6.169, 11.580 Å; angles 90.00, 90.00, 145.33 degrees
Positions (direct):
Pr 0.122 0.878 0.750
Pr 0.878 0.122 0.250
U 0.373 0.627 0.544
U 0.373 0.627 0.956
U 0.627 0.373 0.044
U 0.627 0.373 0.456
Mo 0.140 0.860 0.250
Mo 0.860 0.140 0.750
C 0.000 0.000 0.000
C 0.000 0.000 0.500
C 0.253 0.747 0.115
C 0.253 0.747 0.385
C 0.440 0.560 0.750
C 0.560 0.440 0.250
C 0.747 0.253 0.615
C 0.747 0.253 0.885

Output
- Space-group type: No. 63
- Fermi-level density of states: 8.77 states/eV/f.u.
- DFT total energy: -9.376 eV/atom
- Total magnetic moment: 2.584 μB/cell

The following is a PBE calculation of a relaxed structure of MoPtC2, from the Alexandria database.

Cell lengths 5.721, 5.721, 5.721 Å; angles 130.82, 130.82, 72.11 degrees
Positions (direct):
Mo 0.000 0.000 0.000
Mo 0.750 0.250 0.500
Pt 0.250 0.750 0.500
Pt 0.500 0.500 0.000
C 0.115 0.625 0.990
C 0.375 0.365 0.490
C 0.635 0.125 0.010
C 0.875 0.885 0.510

Output
- ΔE to the lowest computed polymorph: 0.0 kJ/mol of atoms
- Space-group type: No. 122
- Fermi-level density of states: 1.30 states/eV/f.u.
- Total magnetic moment: 0.000 μB/cell

The following is a PBE calculation of a relaxed structure of Mo6PtC, from the Alexandria database.

Cell lengths 4.773, 5.002, 5.316 Å; angles 99.39, 102.75, 99.55 degrees
Positions (direct):
Mo 0.097 0.241 0.205
Mo 0.253 0.823 0.446
Mo 0.291 0.417 0.781
Mo 0.709 0.583 0.219
Mo 0.747 0.177 0.554
Mo 0.903 0.759 0.795
Pt 0.500 0.000 0.000
C 0.500 0.500 0.500

Output
- Space-group type: No. 2
- Fermi-level density of states: 5.69 states/eV/f.u.
- DFT total energy: -9.907 eV/atom
- Total magnetic moment: 0.000 μB/cell